1.
The following is a DFT calculation (meta-GGA SCAN) of a PBEsol-optimized structure of TlFe2Hg.

Output
energy above the most stable polymorph in this dataset: 0.0 meV per atom
symmetry: P4mm, No. 99
DFT formation energy: 327 meV per atom

Cell and atoms, written as POSCAR:
```
TlFe2Hg
1.0
3.092 0.000 0.000
0.000 3.092 0.000
0.000 0.000 7.116
Tl Fe Hg
1 2 1
Direct
0.000 0.000 0.000 Tl
0.000 0.000 0.411 Fe
0.500 0.500 0.263 Fe
0.500 0.500 0.657 Hg
```

---

2.
The following is a DFT calculation (meta-GGA SCAN) of a PBEsol-optimized structure of Ga3HSe.

Output
symmetry: Pm-3m, No. 221
total DFT energy (no corrections): -70.98 eV/cell

Cell and atoms, written as POSCAR:
```
Ga3HSe
1.0
4.364 0.000 0.000
0.000 4.364 0.000
0.000 0.000 4.364
Ga H Se
3 1 1
Direct
0.000 0.000 0.500 Ga
0.000 0.500 0.000 Ga
0.500 0.000 0.000 Ga
0.000 0.000 0.000 H
0.500 0.500 0.500 Se
```

---

3.
The following is a DFT calculation (meta-GGA SCAN) of a PBEsol-optimized structure of Sb2TeOs.

Output
symmetry: Pmmm, No. 47
total DFT energy (no corrections): -179.94 eV/cell

Cell and atoms, written as POSCAR:
```
Sb2TeOs
1.0
3.343 0.000 0.000
0.000 4.985 0.000
0.000 0.000 5.097
Sb Te Os
2 1 1
Direct
0.000 0.000 0.000 Sb
0.500 0.500 0.000 Sb
0.000 0.500 0.500 Te
0.500 0.000 0.500 Os
```